VASP calculation (PBE) on crystalline BeCd2Ru at its relaxed geometry.

a = 9.0578 Å, b = 9.0578 Å, c = 9.0578 Å
α = 18.35°, β = 18.35°, γ = 18.35°
Closest atoms and distances in Å follow each position.
Fractional positions:
Be (0.7500, 0.7500, 0.7500)  6 Cd 2.68, 6 Be 2.89
Ru (0.2500, 0.2500, 0.2500)  6 Cd 2.88, 6 Ru 2.89
Cd (0.4954, 0.4954, 0.4954)  3 Be 2.68, 3 Ru 2.88, 6 Cd 2.89
Cd (0.0046, 0.0046, 0.0046)  3 Be 2.68, 3 Ru 2.88, 6 Cd 2.89

Output
* space group: R-3m
* crystal system: trigonal
* calculated formation energy: 0.511 eV per atom
* raw total energy: -3.20 eV/atom
* spin magnetization: 0.6 Bohr magnetons per cell